A relaxed SrBe2Zn crystal. Source: Alexandria via LeMat-Bulk, functional PBE.

Computed properties:
ΔE_f: 0.415 eV/atom
calculated volume: 16.9 A^3/atom

Cell and atoms, written as CIF:
```
data_SrBe2Zn
_symmetry_space_group_name_H-M 'P 4 m m'
_symmetry_Int_Tables_number 99
_cell_length_a 3.053
_cell_length_b 3.053
_cell_length_c 7.269
_cell_angle_alpha 90.00
_cell_angle_beta 90.00
_cell_angle_gamma 90.00
loop_
_symmetry_equiv_pos_as_xyz
'x,y,z'
'-y,x,z'
'-x,-y,z'
'y,-x,z'
'-x,y,z'
'y,x,z'
'x,-y,z'
'-y,-x,z'
loop_
_atom_site_label
_atom_site_fract_x
_atom_site_fract_y
_atom_site_fract_z
Sr1 0.000 0.000 0.000
Be1 0.000 0.000 0.560
Be2 0.500 0.500 0.675
Zn1 0.500 0.500 0.347
```

***

A relaxed SrZn2Ag4 crystal. Source: Alexandria via LeMat-Bulk, functional PBE.

Computed properties:
ΔE_f: -0.155 eV/atom
E above lowest polymorph: 0.000 eV/atom
calculated volume: 20.0 A^3/atom

Cell and atoms, written as CIF:
```
data_SrZn2Ag4
_symmetry_space_group_name_H-M 'C 1 2/m 1'
_symmetry_Int_Tables_number 12
_cell_length_a 8.952
_cell_length_b 7.218
_cell_length_c 5.429
_cell_angle_alpha 90.00
_cell_angle_beta 127.20
_cell_angle_gamma 90.00
loop_
_symmetry_equiv_pos_as_xyz
'x,y,z'
'-x,-y,-z'
'-x,y,-z'
'x,-y,z'
'x+1/2,y+1/2,z'
'-x+1/2,-y+1/2,-z'
'-x+1/2,y+1/2,-z'
'x+1/2,-y+1/2,z'
loop_
_atom_site_label
_atom_site_fract_x
_atom_site_fract_y
_atom_site_fract_z
Sr1 0.000 0.000 0.000
Zn1 0.000 0.500 0.250
Ag1 0.197 0.195 0.697
```